(1)
The following is a DFT calculation (PBE-GGA) of a geometry-optimized YCo2Cl structure.

Properties
Energy above the lowest structure with this stoichiometry: 812 meV per atom
Space-group type: R-3m, No. 166
Raw formation energy: 0.396 eV per atom
Calculated volume: 18.17 Å³/atom

abc: 8.044 8.044 8.044
angles: 23.50 23.50 23.50
Last column: magnetic moment on the atom in μB.
Fractional positions:
Co 0.009 0.009 0.009  1.61
Y 0.250 0.250 0.250  -0.21
Cl 0.750 0.750 0.750  0.11
Co 0.491 0.491 0.491  1.61

---

(2)
The following is a DFT calculation (PBE-GGA) of a geometry-optimized KSm2I6 structure.

Properties
Space-group type: P-31m, No. 162
Raw formation energy: -1.342 eV per atom
Calculated volume: 48.56 Å³/atom

abc: 8.284 7.805 7.805
angles: 120.00 90.00 90.00
Last column: magnetic moment on the atom in μB.
Fractional positions:
I 0.725 0.355 0.000  0.00
Sm 0.500 0.667 0.333  0.26
I 0.725 0.000 0.355  0.00
Sm 0.500 0.333 0.667  0.26
I 0.275 0.355 0.355  0.00
I 0.275 0.000 0.645  0.00
K 0.000 0.000 0.000  0.00
I 0.275 0.645 0.000  0.00
I 0.725 0.645 0.645  0.00

---

(3)
The following is a DFT calculation (PBE-GGA) of a geometry-optimized ScHBr2 structure.

Properties
Space-group type: Cm, No. 8
Calculated volume: 20.88 Å³/atom
Calculated total energy: -4.577 eV/atom

abc: 3.611 3.611 7.684
angles: 76.35 76.41 60.00
Fractional positions:
Br 0.885 0.649 0.580
Br 0.720 0.482 0.079
Sc 0.136 0.899 0.829
H 0.469 0.232 0.829

---

(4)
The following is a DFT calculation (PBE-GGA) of a geometry-optimized Al2AsCl structure.

Properties
Energy above the lowest structure with this stoichiometry: 114 meV per atom
Space-group type: R-3m, No. 166
Raw formation energy: -0.209 eV per atom
Calculated volume: 21.62 Å³/atom

abc: 6.967 6.967 6.967
angles: 32.43 32.43 32.43
Fractional positions:
Cl 0.750 0.750 0.750
As 0.250 0.250 0.250
Al 0.986 0.986 0.986
Al 0.514 0.514 0.514

---

(5)
The following is a DFT calculation (PBE-GGA) of a geometry-optimized La2ZnHg structure.

Properties
Energy above the lowest structure with this stoichiometry: 210 meV per atom
Space-group type: C2/m, No. 12
Calculated volume: 30.66 Å³/atom
Formation energy from the elements: -0.83 eV/f.u.

abc: 5.262 5.262 6.676
angles: 77.85 77.85 42.93
Fractional positions:
La 0.997 0.997 0.013
Hg 0.750 0.750 0.750
La 0.503 0.503 0.487
Zn 0.250 0.250 0.250

---

(6)
The following is a DFT calculation (PBE-GGA) of a geometry-optimized BaCd3Ge3 structure.

Properties
Space-group type: P2_1/m, No. 11
Calculated volume: 26.42 Å³/atom
Formation energy from the elements: -0.61 eV/f.u.

abc: 4.008 10.320 10.320
angles: 119.95 90.00 90.00
Fractional positions:
Cd 0.750 0.278 0.191
Ba 0.750 0.333 0.667
Ge 0.750 0.589 0.546
Cd 0.250 0.087 0.278
Ge 0.750 0.957 0.411
Cd 0.750 0.810 0.087
Ge 0.250 0.043 0.589
Cd 0.750 0.913 0.722
Ge 0.250 0.411 0.454
Ge 0.750 0.454 0.043
Ge 0.250 0.546 0.957
Cd 0.250 0.190 0.913
Ba 0.250 0.667 0.333
Cd 0.250 0.722 0.809

---

(7)
The following is a DFT calculation (PBE-GGA) of a geometry-optimized CoCuBr2 structure.

Properties
Energy above the lowest structure with this stoichiometry: 213 meV per atom
Space-group type: C2/m, No. 12
Raw formation energy: 0.181 eV per atom
Calculated volume: 19.67 Å³/atom

abc: 3.830 3.830 7.049
angles: 69.20 69.20 56.22
Last column: magnetic moment on the atom in μB.
Fractional positions:
Co 0.750 0.750 0.750  1.83
Br 0.957 0.957 0.982  0.06
Cu 0.250 0.250 0.250  0.02
Br 0.543 0.543 0.518  0.06

---

(8)
The following is a DFT calculation (PBE-GGA) of a geometry-optimized AcNd2RhO8 structure.

Properties
Space-group type: P-1, No. 2
Raw formation energy: -2.194 eV per atom
Calculated volume: 14.68 Å³/atom

abc: 4.408 5.505 7.266
angles: 89.95 89.95 92.09
Fractional positions:
Ac 0.000 0.000 0.500
Nd 0.499 0.500 0.748
O 0.512 0.744 0.500
Nd 0.501 0.500 0.252
O 0.583 0.893 0.000
O 0.964 0.252 0.202
O 0.964 0.252 0.798
O 0.488 0.256 0.500
O 0.417 0.107 0.000
O 0.036 0.748 0.202
Rh 0.000 0.000 0.000
O 0.036 0.748 0.798